The following is a PBE calculation of a geometry-optimized MgSe3 structure, from Alexandria via LeMat-Bulk.

extended XYZ file:
```
16
Lattice="7.7453 0.0000 0.0000 0.0000 6.9717 0.0000 0.0000 0.0000 7.3265" Properties=species:S:1:pos:R:3 pbc="T T T"
Mg 0.9071 1.7429 0.9058
Mg 2.9655 5.2288 4.5691
Mg 4.7797 1.7429 2.7574
Mg 6.8382 5.2288 6.4207
Se 0.9853 1.7429 4.4763
Se 1.3346 3.5465 6.0540
Se 1.3346 6.9111 6.0540
Se 2.5380 0.0606 2.3908
Se 2.5380 3.4252 2.3908
Se 2.8874 5.2288 0.8130
Se 4.8579 1.7429 6.5135
Se 5.2073 3.5465 4.9357
Se 5.2073 6.9111 4.9357
Se 6.4107 0.0606 1.2725
Se 6.4107 3.4252 1.2725
Se 6.7600 5.2288 2.8502
```

Output
- Magnetization: 0.00 μB/f.u.
- V: 24.73 Å³ per atom
- Energy relative to the elements, uncorrected: -0.488 eV per atom

The following is a PBE calculation of a geometry-optimized Mg2Se structure, from Alexandria via LeMat-Bulk.

extended XYZ file:
```
3
Lattice="4.2863 0.0000 0.0000 0.0000 4.2863 0.0000 0.0000 0.0000 3.8656" Properties=species:S:1:pos:R:3 pbc="T T T"
Mg 0.0000 2.1432 0.0000
Mg 2.1432 0.0000 0.0000
Se 0.0000 0.0000 1.9328
```

Output
- Magnetization: 0.00 μB/f.u.
- V: 23.67 Å³ per atom
- Energy relative to the elements, uncorrected: -0.468 eV per atom

Among the records above, which one has the lowest V?
Mg2Se